1.
Material: NbCdCuPb
Method: DFT, PBE-GGA
State: optimized geometry

## Properties
The total magnetization comes out at 7.509 Bohr magnetons per cell. The calculation puts the energy above the most stable polymorph in this dataset at 0.0 meV/atom.

```
data_NbCdCuPb
_space_group_name_H-M_alt 'F -4 3 m'
_space_group_IT_number 216
_space_group_name_Hall 'F -4 2 3'
_cell_length_a 6.8246
_cell_length_b 6.8246
_cell_length_c 6.8246
_cell_angle_alpha 90.00
_cell_angle_beta 90.00
_cell_angle_gamma 90.00
loop_
_atom_site_label
_atom_site_type_symbol
_atom_site_fract_x
_atom_site_fract_y
_atom_site_fract_z
_atom_site_occupancy
Nb1 Nb 0.0000 0.0000 0.0000 1
Cd1 Cd 0.2500 0.2500 0.7500 1
Cu1 Cu 0.0000 0.0000 0.5000 1
Pb1 Pb 0.2500 0.2500 0.2500 1
```


2.
Material: La2NdCu2Si4Pd2
Method: DFT, PBE-GGA
State: optimized geometry

## Properties
The total magnetization comes out at 0.020 Bohr magnetons per cell. The calculation puts the total energy at -5.679 eV per atom.

```
data_La2NdCu2Si4Pd2
_space_group_name_H-M_alt 'I m m m'
_space_group_IT_number 71
_space_group_name_Hall '-I 2 2'
_cell_length_a 4.1869
_cell_length_b 4.2687
_cell_length_c 24.2639
_cell_angle_alpha 90.00
_cell_angle_beta 90.00
_cell_angle_gamma 90.00
loop_
_atom_site_label
_atom_site_type_symbol
_atom_site_fract_x
_atom_site_fract_y
_atom_site_fract_z
_atom_site_occupancy
La1 La 0.0000 0.0000 0.1461 1
Nd1 Nd 0.0000 0.5000 0.5000 1
Cu1 Cu 0.0000 0.0000 0.4043 1
Si1 Si 0.0000 0.0000 0.3047 1
Si2 Si 0.0000 0.5000 0.0493 1
Pd1 Pd 0.0000 0.5000 0.2511 1
```


3.
Material: ErAlGe
Method: DFT, PBE-GGA
State: optimized geometry

## Properties
The total magnetization comes out at 0.008 Bohr magnetons per cell. The calculation puts the total energy at -4.886 eV per atom.

```
data_ErAlGe
_space_group_name_H-M_alt 'P n m a'
_space_group_IT_number 62
_space_group_name_Hall '-P 2ac 2n'
_cell_length_a 6.8950
_cell_length_b 4.0672
_cell_length_c 8.5538
_cell_angle_alpha 90.00
_cell_angle_beta 90.00
_cell_angle_gamma 90.00
loop_
_atom_site_label
_atom_site_type_symbol
_atom_site_fract_x
_atom_site_fract_y
_atom_site_fract_z
_atom_site_occupancy
Er1 Er 0.0214 0.2500 0.1741 1
Al1 Al 0.1623 0.2500 0.5721 1
Ge1 Ge 0.2211 0.7500 0.3797 1
```


4.
Material: TaAg3S4
Method: DFT, PBE-GGA
State: optimized geometry

## Properties
The total magnetization comes out at 0.001 Bohr magnetons per cell. The calculation puts the energy above the most stable polymorph in this dataset at 0.0 meV/atom.

```
data_TaAg3S4
_space_group_name_H-M_alt 'P m n 21'
_space_group_IT_number 31
_space_group_name_Hall 'P 2ac -2'
_cell_length_a 7.9787
_cell_length_b 7.0184
_cell_length_c 6.8394
_cell_angle_alpha 90.00
_cell_angle_beta 90.00
_cell_angle_gamma 90.00
loop_
_atom_site_label
_atom_site_type_symbol
_atom_site_fract_x
_atom_site_fract_y
_atom_site_fract_z
_atom_site_occupancy
Ta1 Ta 0.0000 0.1764 0.0000 1
Ag1 Ag 0.0000 0.8497 0.4870 1
Ag2 Ag 0.2481 0.6748 0.9810 1
S1 S 0.0000 0.1763 0.6653 1
S2 S 0.0000 0.8684 0.1153 1
S3 S 0.2376 0.3306 0.1107 1
```


5.
Material: AgB4Au
Method: DFT, PBE-GGA
State: optimized geometry

## Properties
The calculation puts the energy above the most stable polymorph in this dataset at 0.0 meV/atom.

```
data_AgB4Au
_space_group_name_H-M_alt 'I m m m'
_space_group_IT_number 71
_space_group_name_Hall '-I 2 2'
_cell_length_a 2.9981
_cell_length_b 5.2493
_cell_length_c 8.2557
_cell_angle_alpha 90.00
_cell_angle_beta 90.00
_cell_angle_gamma 90.00
loop_
_atom_site_label
_atom_site_type_symbol
_atom_site_fract_x
_atom_site_fract_y
_atom_site_fract_z
_atom_site_occupancy
Ag1 Ag 0.0000 0.0000 0.0000 1
B1 B 0.0000 0.3354 0.2525 1
Au1 Au 0.0000 0.0000 0.5000 1
```


6.
Material: InAgTe2
Method: DFT, PBE-GGA
State: optimized geometry

## Properties
The calculation puts the total energy at -2.766 eV per atom.

```
data_InAgTe2
_space_group_name_H-M_alt 'F -4 3 m'
_space_group_IT_number 216
_space_group_name_Hall 'F -4 2 3'
_cell_length_a 7.4755
_cell_length_b 7.4755
_cell_length_c 7.4755
_cell_angle_alpha 90.00
_cell_angle_beta 90.00
_cell_angle_gamma 90.00
loop_
_atom_site_label
_atom_site_type_symbol
_atom_site_fract_x
_atom_site_fract_y
_atom_site_fract_z
_atom_site_occupancy
In1 In 0.0000 0.0000 0.0000 1
Ag1 Ag 0.2500 0.2500 0.2500 1
Te1 Te 0.0000 0.0000 0.5000 1
Te2 Te 0.2500 0.2500 0.7500 1
```


7.
Material: Tm2BiPO6
Method: DFT, PBE-GGA
State: optimized geometry

## Properties
The total magnetization comes out at 0.754 Bohr magnetons per cell. The calculation puts the total energy at -7.242 eV per atom.

```
data_Tm2BiPO6
_space_group_name_H-M_alt 'C m c m'
_space_group_IT_number 63
_space_group_name_Hall '-C 2c 2'
_cell_length_a 8.0326
_cell_length_b 13.3873
_cell_length_c 5.3095
_cell_angle_alpha 90.00
_cell_angle_beta 90.00
_cell_angle_gamma 90.00
loop_
_atom_site_label
_atom_site_type_symbol
_atom_site_fract_x
_atom_site_fract_y
_atom_site_fract_z
_atom_site_occupancy
Tm1 Tm 0.2346 0.1099 0.2500 1
Bi1 Bi 0.0000 0.3857 0.2500 1
P1 P 0.0000 0.1780 0.7500 1
O1 O 0.0000 0.1144 0.5036 1
O2 O 0.1648 0.2371 0.7500 1
O3 O 0.1759 0.5000 0.0000 1
```


8.
Material: YTmGa2I2
Method: DFT, PBE-GGA
State: optimized geometry

## Properties
The total magnetization comes out at 0.006 Bohr magnetons per cell. The calculation puts the total energy at -4.361 eV per atom.

```
data_YTmGa2I2
_space_group_name_H-M_alt 'P 3 m 1'
_space_group_IT_number 156
_space_group_name_Hall 'P 3 -2"'
_cell_length_a 4.1795
_cell_length_b 4.1795
_cell_length_c 12.0990
_cell_angle_alpha 90.00
_cell_angle_beta 90.00
_cell_angle_gamma 120.00
loop_
_atom_site_label
_atom_site_type_symbol
_atom_site_fract_x
_atom_site_fract_y
_atom_site_fract_z
_atom_site_occupancy
Y1 Y 0.0000 0.0000 0.0000 1
Tm1 Tm 0.0000 0.0000 0.6697 1
Ga1 Ga 0.3333 0.6667 0.8616 1
Ga2 Ga 0.6667 0.3333 0.8046 1
I1 I 0.3333 0.6667 0.5067 1
I2 I 0.6667 0.3333 0.1650 1
```


9.
Material: SrHfSn2
Method: DFT, PBE-GGA
State: optimized geometry

## Properties
The total magnetization comes out at 0.159 Bohr magnetons per cell. The calculation puts the total energy at -4.607 eV per atom.

```
data_SrHfSn2
_space_group_name_H-M_alt 'F -4 3 m'
_space_group_IT_number 216
_space_group_name_Hall 'F -4 2 3'
_cell_length_a 7.5938
_cell_length_b 7.5938
_cell_length_c 7.5938
_cell_angle_alpha 90.00
_cell_angle_beta 90.00
_cell_angle_gamma 90.00
loop_
_atom_site_label
_atom_site_type_symbol
_atom_site_fract_x
_atom_site_fract_y
_atom_site_fract_z
_atom_site_occupancy
Sr1 Sr 0.0000 0.0000 0.0000 1
Hf1 Hf 0.2500 0.2500 0.2500 1
Sn1 Sn 0.0000 0.0000 0.5000 1
Sn2 Sn 0.2500 0.2500 0.7500 1
```


10.
Material: HfCo2As2
Method: DFT, PBE-GGA
State: optimized geometry

## Properties
The total magnetization comes out at 2.260 Bohr magnetons per cell. The calculation puts the total energy at -7.081 eV per atom.

```
data_HfCo2As2
_space_group_name_H-M_alt 'I 4/m m m'
_space_group_IT_number 139
_space_group_name_Hall '-I 4 2'
_cell_length_a 3.8356
_cell_length_b 3.8356
_cell_length_c 9.8967
_cell_angle_alpha 90.00
_cell_angle_beta 90.00
_cell_angle_gamma 90.00
loop_
_atom_site_label
_atom_site_type_symbol
_atom_site_fract_x
_atom_site_fract_y
_atom_site_fract_z
_atom_site_occupancy
Hf1 Hf 0.0000 0.0000 0.0000 1
Co1 Co 0.0000 0.5000 0.2500 1
As1 As 0.0000 0.0000 0.3756 1
```


11.
Material: LiSiIr2
Method: DFT, PBE-GGA
State: optimized geometry

## Properties
The total magnetization comes out at 0.532 Bohr magnetons per cell. The calculation puts the total energy at -6.339 eV per atom.

```
data_LiSiIr2
_space_group_name_H-M_alt 'P 63/m m c'
_space_group_IT_number 194
_space_group_name_Hall '-P 6c 2c'
_cell_length_a 4.2460
_cell_length_b 4.2460
_cell_length_c 7.3182
_cell_angle_alpha 90.00
_cell_angle_beta 90.00
_cell_angle_gamma 120.00
loop_
_atom_site_label
_atom_site_type_symbol
_atom_site_fract_x
_atom_site_fract_y
_atom_site_fract_z
_atom_site_occupancy
Li1 Li 0.0000 0.0000 0.2500 1
Si1 Si 0.3333 0.6667 0.2500 1
Ir1 Ir 0.3333 0.6667 0.5718 1
```


12.
Material: HfGa2Si
Method: DFT, PBE-GGA
State: optimized geometry

## Properties
The total magnetization comes out at 0.003 Bohr magnetons per cell. The calculation puts the total energy at -5.235 eV per atom.

```
data_HfGa2Si
_space_group_name_H-M_alt 'F -4 3 m'
_space_group_IT_number 216
_space_group_name_Hall 'F -4 2 3'
_cell_length_a 6.5996
_cell_length_b 6.5996
_cell_length_c 6.5996
_cell_angle_alpha 90.00
_cell_angle_beta 90.00
_cell_angle_gamma 90.00
loop_
_atom_site_label
_atom_site_type_symbol
_atom_site_fract_x
_atom_site_fract_y
_atom_site_fract_z
_atom_site_occupancy
Hf1 Hf 0.0000 0.0000 0.0000 1
Ga1 Ga 0.0000 0.0000 0.5000 1
Ga2 Ga 0.2500 0.2500 0.2500 1
Si1 Si 0.2500 0.2500 0.7500 1
```